Record 1
Density functional theory data (GGA-PBE) for a relaxed Rb3AuCl4 crystal.

The value obtained for the volume is 47.68 Å³ per atom. The uncorrected formation energy is -1.45 eV/atom. The value obtained for the magnetic moment is 0.12 μB/cell. As for the total energy: -3.143 eV per atom.

The structure belongs to space group Pmmn (No. 59, origin choice 2); the cell edges are 6.562, 10.312 and 11.273 Å and the angles 90.00°, 90.00° and 90.00°. Symmetry generates all atoms from Rb at (0.250, 0.008, 0.171), Rb at (0.250, 0.250, 0.607), Au at (0.250, 0.750, 0.863), Cl at (0.250, 0.250, 0.333), Cl at (0.250, 0.526, 0.868) and Cl at (0.250, 0.750, 0.320).


Record 2
Density functional theory data (GGA-PBE) for a relaxed Tm2TlCd crystal.

The value obtained for the volume is 27.68 Å³ per atom. The value obtained for the magnetic moment is 0.00 μB/cell. As for the total energy: -3.251 eV per atom.

The structure belongs to space group R-3m (No. 166, hexagonal axes); the cell edges are 3.6453, 3.6453 and 28.8683 Å and the angles 90.00°, 90.00° and 120.00°. Symmetry generates all atoms from Tm at (0.0000, 0.0000, 0.2499), Tl at (0.0000, 0.0000, 0.0000) and Cd at (0.0000, 0.0000, 0.5000).


Record 3
Density functional theory data (GGA-PBE) for a relaxed Co2PRh crystal.

The value obtained for the volume is 11.45 Å³ per atom. The value obtained for the magnetic moment is 0.00 μB/cell. As for the total energy: -6.885 eV per atom.

The structure belongs to space group P4/mmm (No. 123); the cell edges are 3.557, 3.557 and 3.621 Å and the angles 90.00°, 90.00° and 90.00°. Symmetry generates all atoms from Co at (0.000, 0.500, 0.000), P at (0.000, 0.000, 0.500) and Rh at (0.500, 0.500, 0.500).


Record 4
Density functional theory data (GGA-PBE) for a relaxed Ta2InS crystal.

Its distance to the lowest polymorph of the same formula is 0.00 eV/f.u. The value obtained for the volume is 17.65 Å³ per atom. The uncorrected formation energy is 0.34 eV/atom. The value obtained for the magnetic moment is 0.00 μB/cell. As for the total energy: -7.302 eV per atom.

The structure belongs to space group Fm-3m (No. 225); the cell edges are 6.561, 6.561 and 6.561 Å and the angles 90.00°, 90.00° and 90.00°. Symmetry generates all atoms from Ta at (0.250, 0.250, 0.250), In at (0.000, 0.000, 0.000) and S at (0.000, 0.000, 0.500).


Record 5
Density functional theory data (GGA-PBE) for a relaxed CaEuDyAl crystal.

The value obtained for the volume is 29.50 Å³ per atom. The value obtained for the magnetic moment is 29.02 μB/cell. As for the total energy: -5.181 eV per atom.

The structure belongs to space group F-43m (No. 216); the cell edges are 7.786, 7.786 and 7.786 Å and the angles 90.00°, 90.00° and 90.00°. Symmetry generates all atoms from Ca at (0.000, 0.000, 0.000), Eu at (0.250, 0.250, 0.750), Dy at (0.250, 0.250, 0.250) and Al at (0.000, 0.000, 0.500).


Record 6
Density functional theory data (GGA-PBE) for a relaxed LiSmDyPt crystal.

The value obtained for the volume is 22.57 Å³ per atom. The value obtained for the magnetic moment is 0.00 μB/cell. As for the total energy: -4.934 eV per atom.

The structure belongs to space group F-43m (No. 216); the cell edges are 7.121, 7.121 and 7.121 Å and the angles 90.00°, 90.00° and 90.00°. Symmetry generates all atoms from Li at (0.000, 0.000, 0.000), Sm at (0.250, 0.250, 0.250), Dy at (0.250, 0.250, 0.750) and Pt at (0.000, 0.000, 0.500).


Record 7
Density functional theory data (GGA-PBE) for a relaxed TmThNi4 crystal.

Its distance to the lowest polymorph of the same formula is 0.00 eV/f.u. The value obtained for the volume is 15.74 Å³ per atom. The value obtained for the magnetic moment is 0.00 μB/cell. As for the total energy: -6.260 eV per atom.

The structure belongs to space group F-43m (No. 216); the cell edges are 7.229, 7.229 and 7.229 Å and the angles 90.00°, 90.00° and 90.00°. Symmetry generates all atoms from Tm at (0.000, 0.000, 0.000), Th at (0.250, 0.250, 0.250) and Ni at (0.126, 0.126, 0.626).


Record 8
Density functional theory data (GGA-PBE) for a relaxed AcPm3HoTm crystal.

The value obtained for the volume is 34.74 Å³ per atom. The value obtained for the magnetic moment is 0.00 μB/cell. As for the total energy: -4.524 eV per atom.

The structure belongs to space group P2_1/m (No. 11); the cell edges are 8.172, 5.194 and 10.367 Å and the angles 90.00°, 108.69° and 90.00°. Symmetry generates all atoms from Ac at (0.171, 0.250, 0.293), Pm at (0.173, 0.750, 0.547), Pm at (0.174, 0.250, 0.794), Pm at (0.174, 0.750, 0.040), Ho at (0.496, 0.750, 0.877) and Tm at (0.497, 0.250, 0.628).


Record 9
Density functional theory data (GGA-PBE) for a relaxed PmTm8Cd6 crystal.

The value obtained for the volume is 28.96 Å³ per atom. The value obtained for the magnetic moment is 0.02 μB/cell. As for the total energy: -3.116 eV per atom.

The structure belongs to space group R-3 (No. 148, hexagonal axes); the cell edges are 8.9150, 8.9150 and 18.9372 Å and the angles 90.00°, 90.00° and 120.00°. Symmetry generates all atoms from Pm at (0.0000, 0.0000, 0.0000), Tm at (0.0000, 0.0000, 0.3326), Tm at (0.0013, 0.6654, 0.7826) and Cd at (0.0002, 0.3393, 0.0533).


Record 10
Density functional theory data (GGA-PBE) for a relaxed Re2SiAu crystal.

The value obtained for the volume is 15.39 Å³ per atom. The uncorrected formation energy is 0.22 eV/atom. The value obtained for the magnetic moment is 0.00 μB/cell. As for the total energy: -8.177 eV per atom.

The structure belongs to space group Pm (No. 6); the cell edges are 2.852, 3.919 and 5.688 Å and the angles 90.00°, 104.37° and 90.00°. Symmetry generates all atoms from Re at (0.000, 0.000, 0.000), Re at (0.392, 0.500, 0.778), Si at (0.603, 0.500, 0.209) and Au at (0.746, 0.000, 0.487).


Record 11
Density functional theory data (GGA-PBE) for a relaxed AlReTe crystal.

Its distance to the lowest polymorph of the same formula is 0.03 eV/f.u. The value obtained for the volume is 19.94 Å³ per atom. The uncorrected formation energy is 0.31 eV/atom. The value obtained for the magnetic moment is 0.00 μB/cell. As for the total energy: -6.132 eV per atom.

The structure belongs to space group I4mm (No. 107); the cell edges are 3.172, 3.172 and 11.890 Å and the angles 90.00°, 90.00° and 90.00°. Symmetry generates all atoms from Al at (0.000, 0.000, 0.000), Re at (0.000, 0.000, 0.622) and Te at (0.000, 0.000, 0.260).


Record 12
Density functional theory data (GGA-PBE) for a relaxed CrRe2Ru crystal.

Its distance to the lowest polymorph of the same formula is 0.14 eV/f.u. The value obtained for the volume is 14.12 Å³ per atom. The value obtained for the magnetic moment is 0.00 μB/cell. As for the total energy: -10.816 eV per atom.

The structure belongs to space group Pm (No. 6); the cell edges are 2.675, 4.086 and 5.265 Å and the angles 90.00°, 100.94° and 90.00°. Symmetry generates all atoms from Cr at (0.000, 0.000, 0.000), Re at (0.330, 0.500, 0.234), Re at (0.892, 0.000, 0.510) and Ru at (0.510, 0.500, 0.753).


Record 13
Density functional theory data (GGA-PBE) for a relaxed Ac4AsPb2Se crystal.

The value obtained for the volume is 36.54 Å³ per atom. The uncorrected formation energy is -1.06 eV/atom. The value obtained for the magnetic moment is 0.00 μB/cell. As for the total energy: -5.063 eV per atom.

The structure belongs to space group P2/m (No. 10); the cell edges are 7.980, 4.590 and 8.405 Å and the angles 90.00°, 108.32° and 90.00°. Symmetry generates all atoms from Ac at (0.238, 0.000, 0.229), Ac at (0.251, 0.500, 0.767), As at (0.000, 0.500, 0.000), Pb at (0.000, 0.000, 0.500), Pb at (0.500, 0.500, 0.500) and Se at (0.500, 0.000, 0.000).